[1]
ScCrIN2 | SCAN | PBEsol geometry

Structure (extended XYZ):
```
5
Lattice="4.073 0.000 0.000 0.000 4.073 0.000 0.000 0.000 5.824" Properties=species:S:1:pos:R:3 pbc="T T T"
Sc 0.000 0.000 0.000
Cr 2.037 2.037 2.912
I 0.000 0.000 2.912
N 0.000 2.037 0.000
N 2.037 0.000 0.000
```

As for the symmetry: P4/mmm. The calculation puts the total magnetization at 2.0 μB/f.u. The value obtained for the raw formation energy is 49.0 kJ/mol of atoms. Its density of states at the Fermi level is 3.52 states/eV/f.u.

---

[2]
LaNiCl2 | SCAN | PBEsol geometry

Structure (extended XYZ):
```
4
Lattice="2.008 1.159 6.648 -2.008 1.159 6.648 0.000 -2.319 6.648" Properties=species:S:1:pos:R:3 pbc="T T T"
La 0.000 0.000 0.000
Ni 0.000 0.000 14.779
Cl 0.000 0.000 4.873
Cl 0.000 0.000 8.650
```

As for the symmetry: R3m. The calculation puts the total magnetization at 1.0 μB/f.u. Its offset from the most stable computed form is 0 meV per atom. The value obtained for the raw formation energy is -122.6 kJ/mol of atoms. Its density of states at the Fermi level is 0.35 states/eV/f.u.

---

[3]
Zr3Al | SCAN | PBEsol geometry

Structure (extended XYZ):
```
8
Lattice="5.039 0.000 0.000 0.000 5.978 0.000 0.000 0.000 5.424" Properties=species:S:1:pos:R:3 pbc="T T T"
Zr 1.260 0.004 0.878
Zr 1.260 1.495 3.454
Zr 1.260 2.986 0.878
Zr 3.779 2.993 4.546
Zr 3.779 4.484 1.970
Zr 3.779 5.975 4.546
Al 1.260 4.484 3.636
Al 3.779 1.495 1.788
```

As for the symmetry: Pmmn. The calculation puts the total magnetization at 0.0 μB/f.u. The calculation puts the energy relative to the elements at -0.259 eV per atom. Its density of states at the Fermi level is 3.02 states/eV/f.u.

---

Number 1: electronic total energy -17.081 eV per atom. Number 2: electronic total energy -20.079 eV per atom. Number 3: electronic total energy -25.221 eV per atom.